First-principles (PBE-GGA) data for KGaIN2 after structural relaxation, as listed in Alexandria.

Cell lengths 5.1942, 5.1942, 7.0278 Å; angles 90.00, 90.00, 90.00 degrees
With the nearest neighbours (Å) after each atom.
Sites, in units of the cell vectors:
K1 0.0000 0.0000 0.0000  4 N 2.60
Ga1 0.5000 0.5000 0.5000  4 I 3.67
I1 0.0000 0.0000 0.5000  2 K 3.51, 4 Ga 3.67
N1 0.0000 0.5000 0.0000  2 K 2.60
N2 0.5000 0.0000 0.0000  2 K 2.60

Formation energy from raw total energies, eV/atom: 1.59
Space group: P4/mmm (123)
VASP energy, eV/atom: -2.876